(1)
## SiBO4 (PBE)

Data for crystalline SiBO4 at its relaxed geometry.

The structure in CIF format:
```
data_SiBO4
_chemical_formula_sum 'Si2 B2 O8'
_cell_length_a 4.750
_cell_length_b 4.750
_cell_length_c 7.216
_cell_angle_alpha 90.00
_cell_angle_beta 90.00
_cell_angle_gamma 90.00
_space_group_name_H-M_alt 'P 1'
_space_group_IT_number 1
loop_
_space_group_symop_operation_xyz
'x,y,z'
loop_
_atom_site_label
_atom_site_fract_x
_atom_site_fract_y
_atom_site_fract_z
Si1 0.000 0.000 0.000
Si2 0.500 0.500 0.500
B1 0.000 0.500 0.250
B2 0.500 0.000 0.750
O1 0.079 0.265 0.131
O2 0.235 0.579 0.369
O3 0.265 0.921 0.869
O4 0.421 0.235 0.631
O5 0.579 0.765 0.631
O6 0.735 0.079 0.869
O7 0.765 0.421 0.369
O8 0.921 0.735 0.131
```

=====

(2)
# PBE SiBO2, optimized geometry
# Energy above the lowest structure with this stoichiometry   463 meV/atom
data_SiBO2
_chemical_formula_sum 'Si4 B4 O8'
_cell_length_a 5.288
_cell_length_b 5.288
_cell_length_c 7.481
_cell_angle_alpha 90.00
_cell_angle_beta 90.00
_cell_angle_gamma 90.00
_space_group_name_H-M_alt 'P 1'
_space_group_IT_number 1
loop_
_space_group_symop_operation_xyz
'x,y,z'
loop_
_atom_site_label
_atom_site_fract_x
_atom_site_fract_y
_atom_site_fract_z
Si1 0.000 0.000 0.000
Si2 0.000 0.500 0.250
Si3 0.500 0.000 0.750
Si4 0.500 0.500 0.500
B1 0.000 0.000 0.500
B2 0.000 0.500 0.750
B3 0.500 0.000 0.250
B4 0.500 0.500 0.000
O1 0.001 0.750 0.125
O2 0.250 0.001 0.875
O3 0.250 0.499 0.375
O4 0.499 0.750 0.625
O5 0.501 0.250 0.625
O6 0.750 0.501 0.375
O7 0.750 0.999 0.875
O8 0.999 0.250 0.125

=====

(3)
## Si2B2O5 (PBE)

Data for crystalline Si2B2O5 at its relaxed geometry.

The structure in CIF format:
```
data_Si2B2O5
_chemical_formula_sum 'Si2 B2 O5'
_cell_length_a 3.411
_cell_length_b 3.411
_cell_length_c 6.773
_cell_angle_alpha 90.00
_cell_angle_beta 90.00
_cell_angle_gamma 90.00
_space_group_name_H-M_alt 'P 1'
_space_group_IT_number 1
loop_
_space_group_symop_operation_xyz
'x,y,z'
loop_
_atom_site_label
_atom_site_fract_x
_atom_site_fract_y
_atom_site_fract_z
Si1 0.000 0.000 0.000
Si2 0.000 0.000 0.500
B1 0.500 0.500 0.213
B2 0.500 0.500 0.787
O1 0.000 0.500 0.269
O2 0.000 0.500 0.731
O3 0.500 0.000 0.269
O4 0.500 0.000 0.731
O5 0.500 0.500 0.000
```

=====

(4)
# PBE Si3BO, optimized geometry
# Energy above the lowest structure with this stoichiometry   0 meV/atom
data_Si3BO
_chemical_formula_sum 'Si3 B1 O1'
_cell_length_a 4.090
_cell_length_b 4.090
_cell_length_c 4.090
_cell_angle_alpha 90.00
_cell_angle_beta 90.00
_cell_angle_gamma 90.00
_space_group_name_H-M_alt 'P 1'
_space_group_IT_number 1
loop_
_space_group_symop_operation_xyz
'x,y,z'
loop_
_atom_site_label
_atom_site_fract_x
_atom_site_fract_y
_atom_site_fract_z
Si1 0.000 0.000 0.500
Si2 0.000 0.500 0.000
Si3 0.500 0.000 0.000
B1 0.000 0.000 0.000
O1 0.500 0.500 0.500

=====

(5)
## SrSi2B2O8 (PBE)

Data for crystalline SrSi2B2O8 at its relaxed geometry.

The structure in CIF format:
```
data_SrSi2B2O8
_chemical_formula_sum 'Sr4 Si8 B8 O32'
_cell_length_a 8.287
_cell_length_b 7.986
_cell_length_c 9.031
_cell_angle_alpha 90.00
_cell_angle_beta 90.00
_cell_angle_gamma 90.00
_space_group_name_H-M_alt 'P 1'
_space_group_IT_number 1
loop_
_space_group_symop_operation_xyz
'x,y,z'
loop_
_atom_site_label
_atom_site_fract_x
_atom_site_fract_y
_atom_site_fract_z
Sr1 0.108 0.250 0.076
Sr2 0.392 0.750 0.576
Sr3 0.608 0.250 0.424
Sr4 0.892 0.750 0.924
Si1 0.063 0.058 0.691
Si2 0.063 0.442 0.691
Si3 0.437 0.558 0.191
Si4 0.437 0.942 0.191
Si5 0.563 0.058 0.809
Si6 0.563 0.442 0.809
Si7 0.937 0.558 0.309
Si8 0.937 0.942 0.309
B1 0.233 0.081 0.415
B2 0.233 0.419 0.415
B3 0.267 0.581 0.915
B4 0.267 0.919 0.915
B5 0.733 0.081 0.085
B6 0.733 0.419 0.085
B7 0.767 0.581 0.585
B8 0.767 0.919 0.585
O1 0.003 0.750 0.326
O2 0.090 0.072 0.319
O3 0.090 0.428 0.319
O4 0.136 0.034 0.858
O5 0.136 0.466 0.858
O6 0.198 0.013 0.565
O7 0.198 0.487 0.565
O8 0.199 0.750 0.915
O9 0.301 0.250 0.415
O10 0.302 0.513 0.065
O11 0.302 0.987 0.065
O12 0.364 0.534 0.358
O13 0.364 0.966 0.358
O14 0.410 0.572 0.819
O15 0.410 0.928 0.819
O16 0.497 0.250 0.826
O17 0.503 0.750 0.174
O18 0.590 0.072 0.181
O19 0.590 0.428 0.181
O20 0.636 0.034 0.642
O21 0.636 0.466 0.642
O22 0.698 0.013 0.935
O23 0.698 0.487 0.935
O24 0.699 0.750 0.585
O25 0.801 0.250 0.085
O26 0.802 0.513 0.435
O27 0.802 0.987 0.435
O28 0.864 0.534 0.142
O29 0.864 0.966 0.142
O30 0.910 0.572 0.681
O31 0.910 0.928 0.681
O32 0.997 0.250 0.674
```

=====

(6)
## ThSi2BO8 (PBE)

Data for crystalline ThSi2BO8 at its relaxed geometry.

The structure in CIF format:
```
data_ThSi2BO8
_chemical_formula_sum 'Th1 Si2 B1 O8'
_cell_length_a 4.997
_cell_length_b 4.997
_cell_length_c 6.248
_cell_angle_alpha 90.00
_cell_angle_beta 90.00
_cell_angle_gamma 120.00
_space_group_name_H-M_alt 'P 1'
_space_group_IT_number 1
loop_
_space_group_symop_operation_xyz
'x,y,z'
loop_
_atom_site_label
_atom_site_fract_x
_atom_site_fract_y
_atom_site_fract_z
Th1 0.000 0.000 0.000
Si1 0.333 0.667 0.266
Si2 0.667 0.333 0.734
B1 0.000 0.000 0.500
O1 0.153 0.305 0.335
O2 0.153 0.847 0.335
O3 0.305 0.153 0.665
O4 0.333 0.667 0.004
O5 0.667 0.333 0.996
O6 0.695 0.847 0.335
O7 0.847 0.153 0.665
O8 0.847 0.695 0.665
```

=====

(7)
## TiSi2BO (PBE)

Data for crystalline TiSi2BO at its relaxed geometry.

The structure in CIF format:
```
data_TiSi2BO
_chemical_formula_sum 'Ti1 Si2 B1 O1'
_cell_length_a 4.874
_cell_length_b 4.874
_cell_length_c 3.975
_cell_angle_alpha 90.00
_cell_angle_beta 90.00
_cell_angle_gamma 90.00
_space_group_name_H-M_alt 'P 1'
_space_group_IT_number 1
loop_
_space_group_symop_operation_xyz
'x,y,z'
loop_
_atom_site_label
_atom_site_fract_x
_atom_site_fract_y
_atom_site_fract_z
Ti1 0.000 0.000 0.000
Si1 0.000 0.500 0.000
Si2 0.500 0.000 0.000
B1 0.000 0.000 0.500
O1 0.500 0.500 0.500
```

=====

no.,D(E_F) (states/eV/atom),E_tot (eV per atom),E_form (uncorrected) (kcal/mol of atoms)
1,0.43,-7.472,-49.6
2,0.44,-6.167,-15.3
3,0.09,-6.070,-14.4
4,0.78,-4.660,21.2
5,0.00,-7.820,-64.1
6,0.37,-7.744,-54.4
7,0.90,-4.637,33.2